i | ScPb2Cl: optimized geometry, PBE.

Results
- spin magnetization (μB per cell) = 0.0
- DOS(E_F) (states/eV/f.u.) = 5.0
- calculated volume (Å³/cell) = 321.91

Lattice parameters (Å, degrees): 3.591 3.591 28.824 90.00 90.00 120.00
Element x y z (fractional)
Sc1 0.000 0.000 0.000
Sc2 0.333 0.667 0.667
Sc3 0.667 0.333 0.333
Pb1 0.000 0.000 0.249
Pb2 0.000 0.000 0.751
Pb3 0.333 0.667 0.418
Pb4 0.333 0.667 0.915
Pb5 0.667 0.333 0.085
Pb6 0.667 0.333 0.582
Cl1 0.000 0.000 0.500
Cl2 0.333 0.667 0.167
Cl3 0.667 0.333 0.833



ii | ScPb2Cl: optimized geometry, PBE.

Results
- spin magnetization (μB per cell) = 0.4
- DOS(E_F) (states/eV/f.u.) = 3.6
- calculated volume (Å³/cell) = 112.91

Lattice parameters (Å, degrees): 3.751 5.737 5.251 90.00 92.16 90.00
Element x y z (fractional)
Sc1 0.000 0.000 0.000
Pb1 0.276 0.500 0.236
Pb2 0.724 0.500 0.764
Cl1 0.000 0.000 0.500



Which is most stable, and by how much? ii, by 17.9 kJ/mol of atoms.



i | ScPb2Cl: optimized geometry, PBE.

Results
- spin magnetization (μB per cell) = 0.0
- DOS(E_F) (states/eV/f.u.) = 3.7
- calculated volume (Å³/cell) = 512.58

Lattice parameters (Å, degrees): 10.192 10.192 4.935 90.00 90.00 90.00
Element x y z (fractional)
Sc1 0.000 0.000 0.000
Sc2 0.000 0.500 0.250
Sc3 0.500 0.000 0.750
Sc4 0.500 0.500 0.500
Pb1 0.163 0.250 0.125
Pb2 0.250 0.663 0.375
Pb3 0.250 0.837 0.875
Pb4 0.337 0.250 0.625
Pb5 0.663 0.750 0.625
Pb6 0.750 0.163 0.875
Pb7 0.750 0.337 0.375
Pb8 0.837 0.750 0.125
Cl1 0.000 0.000 0.500
Cl2 0.000 0.500 0.750
Cl3 0.500 0.000 0.250
Cl4 0.500 0.500 0.000



ii | ScPb2Cl: optimized geometry, PBE.

Results
- spin magnetization (μB per cell) = 0.0
- DOS(E_F) (states/eV/f.u.) = 3.5
- calculated volume (Å³/cell) = 206.72

Lattice parameters (Å, degrees): 4.420 4.420 10.581 90.00 90.00 90.00
Element x y z (fractional)
Sc1 0.000 0.000 0.000
Sc2 0.500 0.500 0.500
Pb1 0.000 0.500 0.250
Pb2 0.000 0.500 0.750
Pb3 0.500 0.000 0.250
Pb4 0.500 0.000 0.750
Cl1 0.000 0.000 0.500
Cl2 0.500 0.500 0.000



iii | ScPb2Cl: optimized geometry, PBE.

Results
- spin magnetization (μB per cell) = 0.0
- DOS(E_F) (states/eV/f.u.) = 3.4
- calculated volume (Å³/cell) = 111.52

Lattice parameters (Å, degrees): 3.360 3.360 9.878 90.00 90.00 90.00
Element x y z (fractional)
Sc1 0.000 0.000 0.000
Pb1 0.000 0.000 0.507
Pb2 0.500 0.500 0.769
Cl1 0.500 0.500 0.133



Which is most stable, and by how much? iii, by 22.8 kJ/mol of atoms.



i | ScPb2Cl: optimized geometry, PBE.

Results
- spin magnetization (μB per cell) = 0.5
- DOS(E_F) (states/eV/f.u.) = 3.1
- calculated volume (Å³/cell) = 123.53

Lattice parameters (Å, degrees): 4.248 3.466 8.639 90.00 103.75 90.00
Element x y z (fractional)
Sc1 0.000 0.000 0.000
Pb1 0.198 0.000 0.409
Pb2 0.588 0.500 0.183
Cl1 0.894 0.500 0.783



ii | ScPb2Cl: optimized geometry, PBE.

Results
- spin magnetization (μB per cell) = 0.0
- DOS(E_F) (states/eV/f.u.) = 3.7
- calculated volume (Å³/cell) = 431.95

Lattice parameters (Å, degrees): 7.559 7.559 7.559 90.00 90.00 90.00
Element x y z (fractional)
Sc1 0.000 0.000 0.000
Sc2 0.000 0.500 0.500
Sc3 0.500 0.000 0.500
Sc4 0.500 0.500 0.000
Pb1 0.250 0.250 0.250
Pb2 0.250 0.250 0.750
Pb3 0.250 0.750 0.250
Pb4 0.250 0.750 0.750
Pb5 0.750 0.250 0.250
Pb6 0.750 0.250 0.750
Pb7 0.750 0.750 0.250
Pb8 0.750 0.750 0.750
Cl1 0.000 0.000 0.500
Cl2 0.000 0.500 0.000
Cl3 0.500 0.000 0.000
Cl4 0.500 0.500 0.500



Which is most stable, and by how much? i, by 55.8 kJ/mol of atoms.



i | ScPb2Cl: optimized geometry, PBE.

Results
- spin magnetization (μB per cell) = 0.5
- DOS(E_F) (states/eV/f.u.) = 2.0
- calculated volume (Å³/cell) = 246.95

Lattice parameters (Å, degrees): 3.411 4.515 16.037 90.00 90.00 90.00
Element x y z (fractional)
Sc1 0.000 0.000 0.000
Sc2 0.500 0.500 0.500
Pb1 0.000 0.000 0.424
Pb2 0.000 0.500 0.291
Pb3 0.500 0.000 0.791
Pb4 0.500 0.500 0.924
Cl1 0.000 0.500 0.616
Cl2 0.500 0.000 0.116



ii | ScPb2Cl: optimized geometry, PBE.

Results
- spin magnetization (μB per cell) = 0.0
- DOS(E_F) (states/eV/f.u.) = 1.5
- calculated volume (Å³/cell) = 425.19

Lattice parameters (Å, degrees): 7.520 7.520 7.520 90.00 90.00 90.00
Element x y z (fractional)
Sc1 0.000 0.000 0.000
Sc2 0.000 0.500 0.500
Sc3 0.500 0.000 0.500
Sc4 0.500 0.500 0.000
Pb1 0.000 0.000 0.500
Pb2 0.000 0.500 0.000
Pb3 0.250 0.250 0.750
Pb4 0.250 0.750 0.250
Pb5 0.500 0.000 0.000
Pb6 0.500 0.500 0.500
Pb7 0.750 0.250 0.250
Pb8 0.750 0.750 0.750
Cl1 0.250 0.250 0.250
Cl2 0.250 0.750 0.750
Cl3 0.750 0.250 0.750
Cl4 0.750 0.750 0.250



iii | ScPb2Cl: optimized geometry, PBE.

Results
- spin magnetization (μB per cell) = 0.6
- DOS(E_F) (states/eV/f.u.) = 2.5
- calculated volume (Å³/cell) = 206.77

Lattice parameters (Å, degrees): 7.855 7.920 3.324 90.00 90.00 90.00
Element x y z (fractional)
Sc1 0.000 0.000 0.000
Sc2 0.500 0.500 0.000
Pb1 0.250 0.250 0.500
Pb2 0.250 0.750 0.500
Pb3 0.750 0.250 0.500
Pb4 0.750 0.750 0.500
Cl1 0.000 0.500 0.000
Cl2 0.500 0.000 0.000



Which is most stable, and by how much? i, by 27.5 kJ/mol of atoms.